A plane-wave DFT calculation with PBE-GGA was carried out for an optimized crystal structure of Rb2CaB2S6.

Structure (extended XYZ):
```
11
Lattice="-5.276 -1.376 -1.908 0.840 -0.594 6.851 -1.068 9.028 -3.558" Properties=species:S:1:pos:R:3 pbc="T T T"
S -4.879 5.779 -3.952
S -0.626 1.279 5.337
S -3.359 0.566 4.349
S -4.276 4.728 -0.331
S -1.228 2.330 1.716
S -2.146 6.491 -2.964
Rb -3.490 0.103 0.830
Rb -2.015 6.954 0.556
Ca -3.172 3.826 -2.733
B -0.628 2.316 0.065
B -4.877 4.741 1.321
```

Uncorrected energy in eV/atom: -4.670
ΔE_f (raw) in eV/atom: -0.847

A plane-wave DFT calculation with PBE-GGA was carried out for an optimized crystal structure of Rb2CaBSb.

Structure (extended XYZ):
```
5
Lattice="-6.191 -1.825 -2.892 -2.405 -0.344 5.364 -1.831 6.821 -0.384" Properties=species:S:1:pos:R:3 pbc="T T T"
Sb 0.000 0.000 0.000
Ca -1.202 -0.172 2.682
Rb -0.916 3.410 -0.192
Rb -3.096 -0.913 -1.446
B -5.214 2.326 1.044
```

Uncorrected energy in eV/atom: -2.160
ΔE_f (raw) in eV/atom: 0.787

A plane-wave DFT calculation with PBE-GGA was carried out for an optimized crystal structure of RbCaSc2B.

Structure (extended XYZ):
```
5
Lattice="5.710 0.000 0.000 0.000 5.025 0.000 0.000 0.000 5.710" Properties=species:S:1:pos:R:3 pbc="T T T"
B 0.000 2.513 0.000
Sc 2.855 0.000 0.000
Sc 0.000 0.000 2.855
Rb 2.855 2.513 2.855
Ca 0.000 0.000 0.000
```

Uncorrected energy in eV/atom: -2.921
ΔH_f (0 K) in eV/atom: 1.54

A plane-wave DFT calculation with PBE-GGA was carried out for an optimized crystal structure of CaReB4.

Structure (extended XYZ):
```
24
Lattice="3.549 0.000 0.000 0.000 6.034 0.000 0.000 0.000 11.670" Properties=species:S:1:pos:R:3 pbc="T T T"
Re 0.000 3.794 0.974
Re 0.000 0.777 4.861
Re 0.000 5.257 6.809
Re 0.000 2.240 10.696
B 1.775 1.713 3.678
B 1.775 2.324 0.556
B 1.775 4.730 2.157
B 1.775 4.322 7.992
B 1.775 1.304 9.513
B 1.775 3.830 6.208
B 1.775 0.694 6.391
B 1.775 5.341 5.279
B 1.775 0.151 8.084
B 1.775 3.168 9.421
B 1.775 2.866 2.249
B 1.775 2.205 5.462
B 1.775 0.812 11.297
B 1.775 3.711 11.114
B 1.775 5.222 0.373
B 1.775 5.883 3.586
Ca 0.000 2.255 7.593
Ca 0.000 3.779 4.077
Ca 0.000 5.272 9.912
Ca 0.000 0.762 1.758
```

Uncorrected energy in eV/atom: -7.239
ΔH_f (0 K) in eV/atom: -0.38

A plane-wave DFT calculation with PBE-GGA was carried out for an optimized crystal structure of CaReB3.

Structure (extended XYZ):
```
5
Lattice="4.102 0.383 -0.047 0.498 4.089 -0.088 -0.769 -0.703 3.986" Properties=species:S:1:pos:R:3 pbc="T T T"
Ca 4.499 4.368 -0.011
B 2.502 3.662 1.621
B 3.720 2.410 1.635
B 2.594 2.519 0.305
Re 1.627 1.600 2.194
```

Uncorrected energy in eV/atom: -6.914
Energy above the lowest structure with this stoichiometry in eV/atom: 0.000
ΔH_f (0 K) in eV/atom: -0.02

A plane-wave DFT calculation with PBE-GGA was carried out for an optimized crystal structure of CaReB3.

Structure (extended XYZ):
```
5
Lattice="4.024 0.000 0.000 0.000 4.024 0.000 0.000 0.000 4.024" Properties=species:S:1:pos:R:3 pbc="T T T"
Ca 0.000 0.000 0.000
Re 2.012 2.012 2.012
B 0.000 0.000 2.012
B 0.000 2.012 0.000
B 2.012 0.000 0.000
```

Uncorrected energy in eV/atom: -3.684
Energy above the lowest structure with this stoichiometry in eV/atom: 3.230
ΔH_f (0 K) in eV/atom: 3.21

A plane-wave DFT calculation with PBE-GGA was carried out for an optimized crystal structure of CaReB3.

Structure (extended XYZ):
```
5
Lattice="-1.751 -2.225 3.063 -0.267 -3.294 -2.545 3.776 -1.264 1.240" Properties=species:S:1:pos:R:3 pbc="T T T"
B -0.133 -1.647 -1.273
B 1.888 -0.632 0.620
B -0.875 -1.113 1.531
Ca 0.879 -3.391 0.879
Re 0.000 0.000 0.000
```

Uncorrected energy in eV/atom: -6.688
Energy above the lowest structure with this stoichiometry in eV/atom: 0.226
ΔH_f (0 K) in eV/atom: 0.21

A plane-wave DFT calculation with PBE-GGA was carried out for an optimized crystal structure of CaRe3B.

Structure (extended XYZ):
```
5
Lattice="-1.181 -4.200 -1.399 3.825 -0.240 -2.510 2.228 -1.815 3.568" Properties=species:S:1:pos:R:3 pbc="T T T"
Re 1.912 -0.120 -1.255
Re 1.114 -0.907 1.784
Re -0.590 -2.100 -0.699
Ca 0.000 0.000 0.000
B 2.436 -3.127 -0.170
```

Uncorrected energy in eV/atom: -5.003
Energy above the lowest structure with this stoichiometry in eV/atom: 3.690
ΔH_f (0 K) in eV/atom: 4.20